[1]
Material: YZr3C2Se2
Method: DFT, PBE
State: relaxed

* E_tot: -66.856 eV/cell
* spin magnetization: 0.014 μB per formula unit

Cell: 3.5322 3.5322 12.8890 Å, 90.00 90.00 120.00°
Last column: nearest neighbours and their distance in Å.
Space group P3m1 (No. 156)
Asymmetric unit:
Y 0.0000 0.0000 0.0000  3 C 2.49
Zr 0.0000 0.0000 0.3101  3 C 2.37
Zr 0.3333 0.6667 0.4968  3 C 2.37
Zr 0.3333 0.6667 0.7992  3 C 2.34
C 0.6667 0.3333 0.4036  6 Zr 2.37
C 0.6667 0.3333 0.8887  3 Zr 2.34, 3 Y 2.49
Se 0.0000 0.0000 0.6475  6 Zr 2.82-2.83
Se 0.3333 0.6667 0.1629  3 Zr 2.79, 3 Y 2.93

[2]
Material: PrDyZn2Pb2
Method: DFT, PBE
State: relaxed

* E_tot: -44.063 eV/cell
* spin magnetization: 0.004 μB per formula unit

Cell: 4.6250 4.6250 16.4969 Å, 90.00 90.00 120.00°
Last column: nearest neighbours and their distance in Å.
Space group P6_3/mmc (No. 194)
Asymmetric unit:
Pr 0.0000 0.0000 0.0000  6 Pb 3.28
Dy 0.0000 0.0000 0.2500  6 Zn 3.00
Zn 0.3333 0.6667 0.1676  1 Zn 2.72, 3 Pb 2.80, 3 Dy 3.00
Pb 0.3333 0.6667 0.6157  3 Zn 2.80

[3]
Material: PmTlTc
Method: DFT, PBE
State: relaxed

* E_tot: -61.594 eV/cell
* spin magnetization: 0.078 μB per formula unit

Cell: 6.8055 6.8055 6.8055 Å, 90.00 90.00 90.00°
Last column: nearest neighbours and their distance in Å.
Space group F-43m (No. 216)
Asymmetric unit:
Pm 0.0000 0.0000 0.0000  4 Tl 2.95
Tl 0.2500 0.2500 0.2500  4 Pm 2.95, 4 Tc 2.95
Tc 0.0000 0.0000 0.5000  4 Tl 2.95

[4]
Material: LaTbAl2Pd4
Method: DFT, PBE
State: relaxed

* E_tot: -45.042 eV/cell
* spin magnetization: 0.012 μB per formula unit

Cell: 4.4105 4.4105 9.3311 Å, 90.00 90.00 120.00°
Last column: nearest neighbours and their distance in Å.
Space group P-6m2 (No. 187)
Asymmetric unit:
La 0.0000 0.0000 0.0000  8 Pd 3.08-3.11
Tb 0.3333 0.6667 0.5000  8 Pd 2.94-2.98
Al 0.6667 0.3333 0.2603  6 Pd 2.64
Pd 0.0000 0.0000 0.3331  3 Al 2.64, 3 Pd 2.90
Pd 0.3333 0.6667 0.1855  3 Al 2.64, 3 Pd 2.90, 1 Tb 2.94

[5]
Material: BaZnCoSe3
Method: DFT, PBE
State: relaxed

* E_tot: -101.012 eV/cell
* spin magnetization: 2.334 μB per formula unit

Cell: 4.1073 14.1366 9.7414 Å, 90.00 90.00 90.00°
Last column: nearest neighbours and their distance in Å.
Space group Cmcm (No. 63)
Asymmetric unit:
Ba 0.0000 0.2405 0.2500  8 Se 3.34-3.43, 2 Zn 3.63
Zn 0.0000 0.4712 0.7500  4 Se 2.43-2.47
Co 0.0000 0.0000 0.0000  6 Se 2.62-2.71
Se 0.0000 0.0681 0.7500  2 Zn 2.47, 2 Co 2.62
Se 0.0000 0.3776 0.5410  1 Zn 2.43, 2 Co 2.71

[6]
Material: LiTh
Method: DFT, PBE
State: relaxed

* E_tot: -16.885 eV/cell
* spin magnetization: 0.001 μB per formula unit

Cell: 4.9400 4.9400 4.3806 Å, 90.00 90.00 120.00°
Last column: nearest neighbours and their distance in Å.
Space group P6_3/mmc (No. 194)
Asymmetric unit:
Li 0.0000 0.0000 0.0000  2 Li 2.19
Th 0.3333 0.6667 0.2500  6 Li 3.06

[7]
Material: Zr2Cu2Pb3
Method: DFT, PBE
State: relaxed

* E_tot: -99.506 eV/cell
* spin magnetization: 0.030 μB per formula unit

Cell: 4.6430 4.6430 26.5069 Å, 90.00 90.00 120.00°
Last column: nearest neighbours and their distance in Å.
Space group R3m (No. 160, hexagonal axes)
Asymmetric unit:
Zr 0.0000 0.0000 0.0000  6 Pb 2.97-3.05
Zr 0.0000 0.0000 0.4954  4 Pb 2.84
Cu 0.0000 0.0000 0.2376  6 Pb 2.89-2.96
Cu 0.0000 0.0000 0.7491  4 Pb 2.78-3.04
Pb 0.0000 0.0000 0.3885  3 Cu 2.78, 4 Zr 2.84-3.05
Pb 0.0000 0.0000 0.6182  3 Cu 2.96, 4 Zr 2.97-3.25
Pb 0.0000 0.0000 0.8638  3 Zr 2.84, 4 Cu 2.89-3.04

[8]
Material: SnSbMo4C2
Method: DFT, PBE
State: relaxed

* E_tot: -69.539 eV/cell
* spin magnetization: 0.010 μB per formula unit

Cell: 3.2169 3.2169 13.3644 Å, 90.00 90.00 120.00°
Last column: nearest neighbours and their distance in Å.
Space group P-6m2 (No. 187)
Asymmetric unit:
Sn 0.0000 0.0000 0.0000  6 Mo 2.93, 6 Sn 3.22
Sb 0.6667 0.3333 0.5000  6 Mo 2.91, 6 Sb 3.22
Mo 0.0000 0.0000 0.3323  3 C 2.15
Mo 0.6667 0.3333 0.1700  3 C 2.15
C 0.3333 0.6667 0.2513  6 Mo 2.15

[9]
Material: ZrTlAgSe2S
Method: DFT, PBE
State: relaxed

* E_tot: -59.595 eV/cell
* spin magnetization: 0.004 μB per formula unit

Cell: 8.1838 3.9467 10.1528 Å, 90.00 109.59 90.00°
Last column: nearest neighbours and their distance in Å.
Space group P2_1/m (No. 11)
Asymmetric unit:
Zr 0.1975 0.2500 0.1671  1 S 2.51, 4 Se 2.74-2.77
Tl 0.2305 0.7500 0.7007  4 Se 3.27-3.49, 3 S 3.46-3.63
Ag 0.4350 0.7500 0.3918  1 Se 2.61, 3 S 2.63-2.69, 2 Ag 2.88
Se 0.0514 0.2500 0.8708  3 Zr 2.77-2.84
Se 0.4095 0.7500 0.1290  1 Ag 2.61, 2 Zr 2.74
S 0.2399 0.2500 0.4236  1 Zr 2.51, 3 Ag 2.63-2.69

[10]
Material: PrMgFe
Method: DFT, PBE
State: relaxed

* E_tot: -46.602 eV/cell
* spin magnetization: 2.134 μB per formula unit

Cell: 6.9792 6.9792 6.9792 Å, 90.00 90.00 90.00°
Last column: nearest neighbours and their distance in Å.
Space group F-43m (No. 216)
Asymmetric unit:
Pr 0.0000 0.0000 0.0000  4 Fe 3.02, 4 Mg 3.02
Mg 0.2500 0.2500 0.2500  4 Pr 3.02
Fe 0.2500 0.2500 0.7500  4 Pr 3.02

[11]
Material: PuS
Method: DFT, PBE
State: relaxed

* E_tot: -84.137 eV/cell
* spin magnetization: 6.003 μB per formula unit

Cell: 6.2312 6.2312 6.2312 Å, 90.00 90.00 90.00°
Last column: nearest neighbours and their distance in Å.
Space group F-43m (No. 216)
Asymmetric unit:
Pu 0.0000 0.0000 0.0000  4 S 2.70
S 0.2500 0.2500 0.7500  4 Pu 2.70

[12]
Material: KIrNO
Method: DFT, PBE
State: relaxed

* E_tot: -43.501 eV/cell
* spin magnetization: 0.027 μB per formula unit

Cell: 3.6741 3.6741 10.2463 Å, 90.00 90.00 90.00°
Last column: nearest neighbours and their distance in Å.
Space group P4/nmm (No. 129, origin choice 2)
Asymmetric unit:
K 0.2500 0.2500 0.1723  4 O 2.55
Ir 0.2500 0.7500 0.5000  4 N 2.12
N 0.2500 0.2500 0.6024  4 Ir 2.12
O 0.2500 0.7500 0.0000  4 K 2.55, 4 O 2.60

[13]
Material: YHf2Sb
Method: DFT, PBE
State: relaxed

* E_tot: -122.331 eV/cell
* spin magnetization: 1.665 μB per formula unit

Cell: 7.2183 7.2183 7.2183 Å, 90.00 90.00 90.00°
Last column: nearest neighbours and their distance in Å.
Space group F-43m (No. 216)
Asymmetric unit:
Y 0.0000 0.0000 0.0000  4 Hf 3.13, 4 Sb 3.13
Hf 0.0000 0.0000 0.5000  4 Sb 3.13, 4 Hf 3.13
Hf 0.2500 0.2500 0.2500  4 Hf 3.13, 4 Y 3.13
Sb 0.2500 0.2500 0.7500  4 Hf 3.13, 4 Y 3.13

[14]
Material: BeZnNiSb
Method: DFT, PBE
State: relaxed

* E_tot: -52.542 eV/cell
* spin magnetization: 0.012 μB per formula unit

Cell: 6.2205 6.2205 6.2205 Å, 90.00 90.00 90.00°
Last column: nearest neighbours and their distance in Å.
Space group F-43m (No. 216)
Asymmetric unit:
Be 0.0000 0.0000 0.0000  4 Ni 2.69, 4 Sb 2.69
Zn 0.0000 0.0000 0.5000  4 Sb 2.69, 4 Ni 2.69
Ni 0.2500 0.2500 0.2500  4 Be 2.69, 4 Zn 2.69
Sb 0.2500 0.2500 0.7500  4 Be 2.69, 4 Zn 2.69

[15]
Material: InTe3IrAu
Method: DFT, PBE
State: relaxed

* E_tot: -100.859 eV/cell
* spin magnetization: 0.003 μB per formula unit

Cell: 4.1281 14.5774 10.8218 Å, 90.00 90.00 90.00°
Last column: nearest neighbours and their distance in Å.
Space group Cmcm (No. 63)
Asymmetric unit:
In 0.0000 0.1982 0.2500  2 Au 2.82, 4 Te 3.00-3.12
Te 0.0000 0.1171 0.5168  1 Au 2.64, 2 Ir 2.68
Te 0.0000 0.4509 0.7500  2 Ir 2.80, 2 In 3.00
Ir 0.0000 0.5000 0.0000  6 Te 2.68-2.80
Au 0.0000 0.1701 0.7500  2 Te 2.64, 2 In 2.82

[16]
Material: RbCdNO
Method: DFT, PBE
State: relaxed

* E_tot: -27.838 eV/cell

Cell: 3.8468 6.6335 6.4306 Å, 90.00 90.00 90.00°
Last column: nearest neighbours and their distance in Å.
Space group Pmc2_1 (No. 26)
Asymmetric unit:
Rb 0.0000 0.2247 0.0000  1 N 2.87, 4 O 2.91-2.93
Cd 0.5000 0.2181 0.4987  2 N 2.09, 2 O 2.16-2.17
N 0.0000 0.3427 0.4958  2 Cd 2.09
O 0.5000 0.0024 0.7505  2 Cd 2.16-2.17

[17]
Material: PmPuN2
Method: DFT, PBE
State: relaxed

* E_tot: -123.524 eV/cell
* spin magnetization: 4.636 μB per formula unit

Cell: 3.5229 3.5229 17.1876 Å, 90.00 90.00 120.00°
Last column: nearest neighbours and their distance in Å.
Space group R-3m (No. 166, hexagonal axes)
Asymmetric unit:
Pm 0.0000 0.0000 0.0000  6 N 2.57
Pu 0.0000 0.0000 0.5000  6 N 2.41
N 0.0000 0.0000 0.2423  3 Pu 2.41, 3 Pm 2.57

[18]
Material: PaInAsO
Method: DFT, PBE
State: relaxed

* E_tot: -51.683 eV/cell
* spin magnetization: 0.927 μB per formula unit

Cell: 4.0257 4.0257 10.2857 Å, 90.00 90.00 90.00°
Last column: nearest neighbours and their distance in Å.
Space group P4/nmm (No. 129, origin choice 2)
Asymmetric unit:
Pa 0.2500 0.2500 0.1277  4 O 2.40
In 0.2500 0.7500 0.5000  4 In 2.85
As 0.2500 0.2500 0.7421  4 Pa 3.15, 4 In 3.20, 4 O 3.33
O 0.2500 0.7500 0.0000  4 Pa 2.40

[19]
Material: KSmBeS3
Method: DFT, PBE
State: relaxed

* E_tot: -124.513 eV/cell
* spin magnetization: 0.002 μB per formula unit

Cell: 3.9331 14.1714 10.7140 Å, 90.00 90.00 90.00°
Last column: nearest neighbours and their distance in Å.
Space group Cmcm (No. 63)
Asymmetric unit:
K 0.0000 0.2443 0.2500  6 S 3.25-3.33
Sm 0.0000 0.5000 0.0000  6 S 2.77-2.79
Be 0.0000 0.0389 0.7500  2 S 2.08
S 0.0000 0.1201 0.5880  1 Be 2.08
S 0.0000 0.4455 0.7500  2 Be 2.37

[20]
Material: NdPuFe
Method: DFT, PBE
State: relaxed

* energy of formation: 4.50 eV/f.u.
* spin magnetization: 0.002 μB per formula unit

Cell: 6.2732 6.2732 6.2732 Å, 90.00 90.00 90.00°
Last column: nearest neighbours and their distance in Å.
Space group F-43m (No. 216)
Asymmetric unit:
Nd 0.0000 0.0000 0.0000  4 Fe 2.72, 4 Pu 2.72
Pu 0.2500 0.2500 0.7500  4 Nd 2.72
Fe 0.2500 0.2500 0.2500  4 Nd 2.72

[21]
Material: SmTlZn
Method: DFT, PBE
State: relaxed

* E_tot: -18.905 eV/cell
* spin magnetization: 0.001 μB per formula unit

Cell: 4.7407 4.7407 7.5227 Å, 90.00 90.00 120.00°
Last column: nearest neighbours and their distance in Å.
Space group P6_3mc (No. 186)
Asymmetric unit:
Sm 0.0000 0.0000 0.0000  3 Zn 3.12, 6 Tl 3.21-3.44
Tl 0.3333 0.6667 0.2228  3 Zn 2.80
Zn 0.3333 0.6667 0.8018  3 Tl 2.80, 3 Sm 3.12

[22]
Material: Cd2Te3Pb
Method: DFT, PBE
State: relaxed

* E_tot: -66.179 eV/cell

Cell: 4.3715 14.6739 11.5848 Å, 90.00 90.00 90.00°
Last column: nearest neighbours and their distance in Å.
Space group Cmcm (No. 63)
Asymmetric unit:
Cd 0.0000 0.0000 0.0000  6 Te 3.09-3.25
Cd 0.0000 0.4764 0.2500  4 Te 2.83-2.84
Te 0.0000 0.1005 0.2500  2 Cd 2.84
Te 0.0000 0.3582 0.0574  3 Cd 2.83-3.09
Pb 0.0000 0.2293 0.7500  6 Te 3.32-3.38

[23]
Material: Er2LuCo9
Method: DFT, PBE
State: relaxed

* energy of formation: -2.50 eV/f.u.
* spin magnetization: 10.596 μB per formula unit

Cell: 4.9106 4.9106 24.1356 Å, 90.00 90.00 120.00°
Last column: nearest neighbours and their distance in Å.
Space group R-3m (No. 166, hexagonal axes)
Asymmetric unit:
Er 0.0000 0.0000 0.1398  12 Co 2.83-3.05, 3 Er 3.12
Lu 0.0000 0.0000 0.0000  18 Co 2.84-3.15
Co 0.0000 0.0000 0.3343  6 Co 2.41-2.44
Co 0.0000 0.0000 0.5000  6 Co 2.50
Co 0.0023 0.5011 0.9185  7 Co 2.41-2.50

[24]
Material: TlH3Pt
Method: DFT, PBE
State: relaxed

* E_tot: -143.408 eV/cell
* spin magnetization: 0.001 μB per formula unit

Cell: 7.6255 7.6255 7.6255 Å, 90.00 90.00 90.00°
Last column: nearest neighbours and their distance in Å.
Space group Fm-3m (No. 225)
Asymmetric unit:
Tl 0.2500 0.2500 0.2500  12 H 2.70
H 0.0000 0.0000 0.2481  2 Pt 1.89-1.92
Pt 0.0000 0.0000 0.0000  6 H 1.89
Pt 0.0000 0.0000 0.5000  6 H 1.92